1.
Entry from Alexandria: an optimized crystal structure of TlZn3Ir (GGA-PBE).

Calculated values
Formation energy from the elements (meV/atom): 91

abc: 4.8735 4.8735 4.8735
angles: 90.00 90.00 90.00
Closest atoms and distances in Å follow each position.
Positions (direct):
1 Zn 0.5000 0.0000 0.0000  2 Ir 2.44
2 Zn 0.0000 0.5000 0.0000  2 Ir 2.44
3 Zn 0.0000 0.0000 0.5000  2 Ir 2.44
4 Ir 0.0000 0.0000 0.0000  6 Zn 2.44
5 Tl 0.5000 0.5000 0.5000  12 Zn 3.45

---

2.
Entry from Alexandria: an optimized crystal structure of TlZnIr2 (GGA-PBE).

Calculated values
Formation energy from the elements (meV/atom): 341

abc: 4.7436 4.7436 5.2091
angles: 81.06 81.06 36.10
Closest atoms and distances in Å follow each position.
Positions (direct):
1 Ir 0.0037 0.0037 0.0015  5 Ir 2.66-2.94, 3 Zn 2.69-2.71
2 Ir 0.7385 0.7385 0.7911  2 Zn 2.64, 5 Ir 2.66-2.94, 3 Tl 2.85-2.93
3 Tl 0.4949 0.4949 0.5043  3 Zn 2.81-3.04, 7 Ir 2.85-2.99, 2 Tl 2.94
4 Zn 0.2629 0.2629 0.2031  5 Ir 2.64-2.71, 1 Tl 2.81, 2 Zn 2.94

---

3.
Entry from Alexandria: an optimized crystal structure of TlZnIr2 (GGA-PBE).

Calculated values
Formation energy from the elements (meV/atom): 322

abc: 2.8647 3.8455 6.0984
angles: 90.00 90.00 90.00
Closest atoms and distances in Å follow each position.
Positions (direct):
1 Ir 0.0000 0.0000 0.9810  4 Zn 2.64, 6 Ir 2.83-2.86
2 Ir 0.5000 0.5000 0.2276  1 Zn 2.60, 6 Ir 2.83-2.86, 4 Tl 2.88
3 Tl 0.0000 0.0000 0.4900  2 Tl 2.86, 6 Ir 2.88-3.10, 4 Zn 3.06
4 Zn 0.5000 0.5000 0.8014  5 Ir 2.60-2.64, 2 Zn 2.86

---

4.
Entry from Alexandria: an optimized crystal structure of TlZn2Ir (GGA-PBE).

Calculated values
Formation energy from the elements (meV/atom): 164

abc: 3.2985 3.2985 6.4719
angles: 90.00 90.00 90.00
Closest atoms and distances in Å follow each position.
Positions (direct):
1 Zn 0.0000 0.0000 0.0438  1 Ir 2.60, 4 Zn 2.75
2 Zn 0.5000 0.5000 0.2683  4 Ir 2.60, 4 Zn 2.75
3 Ir 0.0000 0.0000 0.4458  5 Zn 2.60
4 Tl 0.5000 0.5000 0.7421  4 Ir 3.02, 5 Zn 3.04-3.07, 4 Tl 3.30

---

5.
Entry from Alexandria: an optimized crystal structure of TlZnIr2 (GGA-PBE).

Calculated values
Formation energy from the elements (meV/atom): 294

abc: 4.2066 2.9351 5.5687
angles: 74.49 90.00 90.00
Closest atoms and distances in Å follow each position.
Positions (direct):
1 Zn 0.5000 0.7500 0.7500  4 Ir 2.54, 2 Tl 2.78
2 Tl 0.5000 0.2500 0.2500  2 Zn 2.78, 2 Tl 2.94, 8 Ir 2.95-2.98
3 Ir 0.0000 0.6004 0.5279  2 Zn 2.54, 2 Ir 2.76-2.84
4 Ir 0.0000 0.8996 0.9721  2 Zn 2.54, 2 Ir 2.76-2.84

---

6.
Entry from Alexandria: an optimized crystal structure of TlZnIr (GGA-PBE).

Calculated values
Formation energy from the elements (meV/atom): 350

abc: 3.0502 3.0502 6.8725
angles: 90.00 90.00 120.00
Closest atoms and distances in Å follow each position.
Positions (direct):
1 Ir 0.0000 0.0000 0.9765  3 Zn 2.59
2 Zn 0.3333 0.6667 0.7008  3 Ir 2.59
3 Tl 0.6667 0.3333 0.3227  3 Ir 2.96, 6 Tl 3.05, 3 Zn 3.14

---

7.
Entry from Alexandria: an optimized crystal structure of TlZn4Ir (GGA-PBE).

Calculated values
Formation energy from the elements (meV/atom): 147

abc: 5.1103 5.1103 5.1103
angles: 60.00 60.00 60.00
Closest atoms and distances in Å follow each position.
Positions (direct):
1 Zn 0.3759 0.8723 0.3759  6 Zn 2.54-2.57
2 Zn 0.3759 0.3759 0.3759  6 Zn 2.54-2.57
3 Zn 0.8723 0.3759 0.3759  6 Zn 2.54-2.57
4 Zn 0.3759 0.3759 0.8723  6 Zn 2.54-2.57
5 Ir 0.7500 0.7500 0.7500  12 Zn 2.99, 4 Tl 3.13
6 Tl 0.0000 0.0000 0.0000  12 Zn 3.00, 4 Ir 3.13

---

8.
Entry from Alexandria: an optimized crystal structure of TlZnIr3 (GGA-PBE).

Calculated values
Formation energy from the elements (meV/atom): 2326

abc: 4.9667 4.9667 4.9667
angles: 90.00 90.00 90.00
Closest atoms and distances in Å follow each position.
Positions (direct):
1 Ir 0.0000 0.5000 0.0000  2 Tl 2.48
2 Ir 0.0000 0.0000 0.5000  2 Tl 2.48
3 Ir 0.5000 0.0000 0.0000  2 Tl 2.48
4 Zn 0.5000 0.5000 0.5000  12 Ir 3.51
5 Tl 0.0000 0.0000 0.0000  6 Ir 2.48

---

9.
Entry from Alexandria: an optimized crystal structure of TlZnIr2 (GGA-PBE).

Calculated values
Formation energy from the elements (meV/atom): 255

abc: 3.1738 3.1749 6.4162
angles: 90.00 90.00 90.00
Closest atoms and distances in Å follow each position.
Positions (direct):
1 Ir 0.0000 0.0000 0.5255  4 Zn 2.67, 4 Tl 2.86, 1 Ir 2.88
2 Ir 0.0000 0.0000 0.9745  4 Zn 2.67, 4 Tl 2.86, 1 Ir 2.88
3 Zn 0.5000 0.5000 0.7500  8 Ir 2.67
4 Tl 0.5000 0.5000 0.2500  8 Ir 2.86, 4 Tl 3.17

---

10.
Entry from Alexandria: an optimized crystal structure of TlZn2Ir (GGA-PBE).

Calculated values
Formation energy from the elements (meV/atom): 168

abc: 4.3147 3.1711 5.3267
angles: 104.26 90.00 90.00
Closest atoms and distances in Å follow each position.
Positions (direct):
1 Ir 0.0000 0.4355 0.4917  4 Zn 2.55-2.73
2 Zn 0.5000 0.3048 0.2290  2 Ir 2.55, 1 Tl 2.68, 4 Zn 2.79-2.82
3 Zn 0.0000 0.7455 0.0682  3 Ir 2.67-2.98, 4 Zn 2.79-2.82
4 Tl 0.5000 0.0141 0.7112  3 Zn 2.68-2.97, 4 Ir 2.89-2.93

---

11.
Entry from Alexandria: an optimized crystal structure of TlZn2Ir (GGA-PBE).

Calculated values
Formation energy from the elements (meV/atom): 315

abc: 4.0503 4.0503 9.6978
angles: 77.95 77.95 90.00
Closest atoms and distances in Å follow each position.
Positions (direct):
1 Zn 0.3750 0.4468 0.7500  2 Zn 2.49, 2 Ir 2.63
2 Zn 0.8750 0.8032 0.7500  2 Zn 2.49, 2 Ir 2.63
3 Zn 0.5532 0.1250 0.2500  2 Zn 2.49, 2 Ir 2.63
4 Zn 0.1968 0.6250 0.2500  2 Zn 2.49, 2 Ir 2.63
5 Tl 0.7500 0.2500 0.5000  4 Zn 2.84, 4 Ir 2.86
6 Tl 0.0000 0.0000 0.0000  4 Zn 2.84, 4 Ir 2.86
7 Ir 0.2500 0.7500 0.5000  4 Zn 2.63, 4 Tl 2.86
8 Ir 0.5000 0.5000 0.0000  4 Zn 2.63, 4 Tl 2.86

---

12.
Entry from Alexandria: an optimized crystal structure of TlZn2Ir (GGA-PBE).

Calculated values
Formation energy from the elements (meV/atom): 187

abc: 4.9149 4.9149 4.7659
angles: 76.58 76.58 37.76
Closest atoms and distances in Å follow each position.
Positions (direct):
1 Ir 0.5133 0.5133 0.4576  5 Zn 2.65-2.86, 3 Tl 2.91-2.94
2 Tl 0.7540 0.7540 0.7483  7 Zn 2.80-2.97, 3 Ir 2.91-2.94
3 Zn 0.9879 0.9879 0.0257  2 Ir 2.66, 3 Zn 2.77-2.90, 3 Tl 2.81-2.97
4 Zn 0.2448 0.2448 0.2684  3 Ir 2.65-2.86, 3 Zn 2.77-2.90, 4 Tl 2.80-2.93

---

13.
Entry from Alexandria: an optimized crystal structure of TlZnIr2 (GGA-PBE).

Calculated values
Formation energy from the elements (meV/atom): 273

abc: 6.6853 6.6853 6.6853
angles: 155.20 143.70 44.46
Closest atoms and distances in Å follow each position.
Positions (direct):
1 Ir 0.2545 0.7545 0.5000  4 Zn 2.58, 4 Ir 2.64-2.87, 2 Tl 2.87
2 Ir 0.0760 0.0760 0.0000  4 Ir 2.64-2.87, 2 Zn 2.69, 4 Tl 2.94
3 Zn 0.7140 0.2140 0.5000  6 Ir 2.58-2.69, 2 Zn 2.87
4 Tl 0.4556 0.4556 0.0000  2 Tl 2.87, 6 Ir 2.87-2.94

---

14.
Entry from Alexandria: an optimized crystal structure of TlZn2Ir (GGA-PBE).

Calculated values
Formation energy from the elements (meV/atom): 232

abc: 4.0982 4.0981 3.9631
angles: 90.00 90.00 90.00
Closest atoms and distances in Å follow each position.
Positions (direct):
1 Zn 0.5000 0.5000 0.0000  4 Ir 2.85, 4 Tl 2.85, 4 Zn 2.90
2 Zn 0.0000 0.0000 0.0000  4 Tl 2.85, 4 Ir 2.85, 4 Zn 2.90
3 Ir 0.5000 0.0000 0.5000  8 Zn 2.85, 4 Tl 2.90
4 Tl 0.0000 0.5000 0.5000  8 Zn 2.85, 4 Ir 2.90

---

15.
Entry from Alexandria: an optimized crystal structure of TlZn2Ir (GGA-PBE).

Calculated values
Formation energy from the elements (meV/atom): 159

abc: 5.0793 5.0793 5.0793
angles: 134.01 134.01 67.07
Closest atoms and distances in Å follow each position.
Positions (direct):
1 Zn 0.5000 0.5000 0.0000  4 Zn 2.81, 4 Ir 2.90, 4 Tl 2.90
2 Zn 0.0000 0.0000 0.0000  4 Zn 2.81, 4 Tl 2.90, 4 Ir 2.90
3 Tl 0.7500 0.2500 0.5000  4 Ir 2.81, 8 Zn 2.90
4 Ir 0.2500 0.7500 0.5000  4 Tl 2.81, 8 Zn 2.90

---

16.
Entry from Alexandria: an optimized crystal structure of TlZn2Ir (GGA-PBE).

Calculated values
Formation energy from the elements (meV/atom): 185

abc: 8.9476 8.9476 8.9476
angles: 19.90 19.90 19.90
Closest atoms and distances in Å follow each position.
Positions (direct):
1 Ir 0.2500 0.2500 0.2500  6 Zn 2.60
2 Zn 0.5114 0.5114 0.5114  3 Ir 2.60
3 Zn 0.9886 0.9886 0.9886  3 Ir 2.60
4 Tl 0.7500 0.7500 0.7500  6 Zn 3.07, 6 Tl 3.09

---

17.
Entry from Alexandria: an optimized crystal structure of TlZn2Ir (GGA-PBE).

Calculated values
Formation energy from the elements (meV/atom): 27

abc: 3.1175 3.1175 7.5783
angles: 90.00 90.00 90.00
Closest atoms and distances in Å follow each position.
Positions (direct):
1 Ir 0.5000 0.5000 0.2500  8 Zn 2.61
2 Zn 0.0000 0.0000 0.0644  4 Ir 2.61, 1 Zn 2.81
3 Zn 0.0000 0.0000 0.4356  4 Ir 2.61, 1 Zn 2.81
4 Tl 0.5000 0.5000 0.7500  4 Tl 3.12, 8 Zn 3.25

---

18.
Entry from Alexandria: an optimized crystal structure of TlZn2Ir2 (GGA-PBE).

Calculated values
Formation energy from the elements (meV/atom): 171

abc: 7.4069 7.4069 2.9460
angles: 90.00 90.00 90.00
Closest atoms and distances in Å follow each position.
Positions (direct):
1 Ir 0.3283 0.1717 0.5000  6 Zn 2.61-2.66
2 Ir 0.1717 0.6717 0.5000  6 Zn 2.61-2.66
3 Ir 0.6717 0.8283 0.5000  6 Zn 2.61-2.66
4 Ir 0.8283 0.3283 0.5000  6 Zn 2.61-2.66
5 Zn 0.8769 0.6231 0.0000  1 Zn 2.58, 6 Ir 2.61-2.66
6 Zn 0.6231 0.1231 0.0000  1 Zn 2.58, 6 Ir 2.61-2.66
7 Zn 0.3769 0.8769 0.0000  1 Zn 2.58, 6 Ir 2.61-2.66
8 Zn 0.1231 0.3769 0.0000  1 Zn 2.58, 6 Ir 2.61-2.66
9 Tl 0.5000 0.5000 0.0000  4 Zn 2.94, 2 Tl 2.95, 8 Ir 3.11
10 Tl 0.0000 0.0000 0.0000  4 Zn 2.94, 2 Tl 2.95, 8 Ir 3.11

---

19.
Entry from Alexandria: an optimized crystal structure of TlZnIr2 (GGA-PBE).

Calculated values
Formation energy from the elements (meV/atom): 289

abc: 2.8857 2.8857 8.6286
angles: 90.00 90.00 90.00
Closest atoms and distances in Å follow each position.
Positions (direct):
1 Zn 0.5000 0.5000 0.8090  4 Ir 2.64, 4 Zn 2.89
2 Ir 0.5000 0.5000 0.2081  8 Ir 2.70-2.89
3 Ir 0.0000 0.0000 0.0036  4 Zn 2.64, 8 Ir 2.70-2.89
4 Tl 0.0000 0.0000 0.4793  4 Tl 2.89, 4 Ir 3.10

---

20.
Entry from Alexandria: an optimized crystal structure of TlZn2Ir2 (GGA-PBE).

Calculated values
Formation energy from the elements (meV/atom): 80

abc: 7.3006 7.3006 3.0895
angles: 90.00 90.00 90.00
Closest atoms and distances in Å follow each position.
Positions (direct):
1 Zn 0.6529 0.8471 0.5000  6 Ir 2.63-2.65
2 Zn 0.1529 0.6529 0.5000  6 Ir 2.63-2.65
3 Zn 0.3471 0.1529 0.5000  6 Ir 2.63-2.65
4 Zn 0.8471 0.3471 0.5000  6 Ir 2.63-2.65
5 Tl 0.5000 0.5000 0.0000  4 Ir 2.81, 2 Tl 3.09
6 Tl 0.0000 0.0000 0.0000  4 Ir 2.81, 2 Tl 3.09
7 Ir 0.3584 0.8584 0.0000  6 Zn 2.63-2.65, 2 Tl 2.81, 1 Ir 2.92
8 Ir 0.6416 0.1416 0.0000  6 Zn 2.63-2.65, 2 Tl 2.81, 1 Ir 2.92
9 Ir 0.1416 0.3584 0.0000  6 Zn 2.63-2.65, 2 Tl 2.81, 1 Ir 2.92
10 Ir 0.8584 0.6416 0.0000  6 Zn 2.63-2.65, 2 Tl 2.81, 1 Ir 2.92

---

21.
Entry from Alexandria: an optimized crystal structure of TlZnIr2 (GGA-PBE).

Calculated values
Formation energy from the elements (meV/atom): 328

abc: 5.3873 5.3873 5.3873
angles: 148.36 125.60 64.31
Closest atoms and distances in Å follow each position.
Positions (direct):
1 Tl 0.2500 0.7500 0.5000  4 Ir 2.84, 4 Zn 2.87, 2 Tl 2.94
2 Zn 0.7500 0.2500 0.5000  4 Ir 2.59, 4 Tl 2.87
3 Ir 0.9834 0.9834 0.0000  2 Zn 2.59, 2 Tl 2.84, 4 Ir 2.88
4 Ir 0.5166 0.5166 0.0000  2 Zn 2.59, 2 Tl 2.84, 4 Ir 2.88

---

22.
Entry from Alexandria: an optimized crystal structure of Zr2TlIr (GGA-PBE).

Calculated values
Formation energy from the elements (meV/atom): -263

abc: 3.9504 3.9504 7.4807
angles: 74.69 74.69 60.00
Closest atoms and distances in Å follow each position.
Positions (direct):
1 Tl 0.5015 0.5015 0.4956  6 Zr 3.16-3.19, 1 Ir 3.48
2 Ir 0.6641 0.6641 0.0076  6 Zr 2.62-2.69
3 Zr 0.0640 0.0640 0.8081  3 Ir 2.69
4 Zr 0.2704 0.2704 0.1888  3 Ir 2.62

---

23.
Entry from Alexandria: an optimized crystal structure of Zr2TlIr (GGA-PBE).

Calculated values
Formation energy from the elements (meV/atom): -272

abc: 5.1948 5.1948 5.1948
angles: 133.39 124.36 75.45
Closest atoms and distances in Å follow each position.
Positions (direct):
1 Zr 0.9771 0.9771 0.0000  2 Ir 2.78, 4 Tl 3.04-3.06
2 Zr 0.5229 0.5229 0.0000  2 Ir 2.78, 4 Tl 3.04-3.06
3 Tl 0.2500 0.7500 0.5000  8 Zr 3.04-3.06, 4 Ir 3.18
4 Ir 0.7500 0.2500 0.5000  4 Zr 2.78

---

24.
Entry from Alexandria: an optimized crystal structure of Zr2TlIr (GGA-PBE).

Calculated values
Formation energy from the elements (meV/atom): -263

abc: 4.4765 4.4812 4.0072
angles: 90.00 90.00 90.00
Closest atoms and distances in Å follow each position.
Positions (direct):
1 Tl 0.0000 0.5000 0.5000  8 Zr 3.00-3.01, 4 Ir 3.17
2 Zr 0.5000 0.5000 0.0000  4 Tl 3.00, 4 Ir 3.01, 4 Zr 3.17
3 Zr 0.0000 0.0000 0.0000  4 Ir 3.00, 4 Tl 3.01, 4 Zr 3.17
4 Ir 0.5000 0.0000 0.5000  8 Zr 3.00-3.01, 4 Tl 3.17

---

25.
Entry from Alexandria: an optimized crystal structure of Zr2TlIr (GGA-PBE).

Calculated values
Formation energy from the elements (meV/atom): -257

abc: 5.0964 5.0964 3.2058
angles: 89.97 89.97 105.42
Closest atoms and distances in Å follow each position.
Positions (direct):
1 Ir 0.5000 0.0000 0.5000  8 Zr 3.01, 2 Tl 3.09, 2 Ir 3.21
2 Zr 0.5000 0.5000 0.0000  4 Tl 3.01, 4 Ir 3.01, 4 Zr 3.09-3.21
3 Zr 0.0000 0.0000 0.0000  4 Ir 3.01, 4 Tl 3.01, 4 Zr 3.09-3.21
4 Tl 0.0000 0.5000 0.5000  8 Zr 3.01, 2 Ir 3.09, 2 Tl 3.21

---

26.
Entry from Alexandria: an optimized crystal structure of ZrTlIr (GGA-PBE).

Calculated values
Formation energy from the elements (meV/atom): -41

abc: 3.5596 3.5596 6.3163
angles: 90.00 90.00 120.00
Closest atoms and distances in Å follow each position.
Positions (direct):
1 Tl 0.6667 0.3333 0.3125  3 Ir 2.99, 3 Zr 3.29
2 Ir 0.0000 0.0000 0.9679  3 Zr 2.58
3 Zr 0.3333 0.6667 0.7196  3 Ir 2.58

---

27.
Entry from Alexandria: an optimized crystal structure of Zr2TlIr (GGA-PBE).

Calculated values
Formation energy from the elements (meV/atom): -213

abc: 4.8720 4.8720 4.8720
angles: 60.00 60.00 60.00
Closest atoms and distances in Å follow each position.
Positions (direct):
1 Zr 0.2500 0.2500 0.2500  4 Tl 2.98, 4 Ir 2.98
2 Zr 0.7500 0.7500 0.7500  4 Tl 2.98, 4 Ir 2.98
3 Ir 0.0000 0.0000 0.0000  8 Zr 2.98
4 Tl 0.5000 0.5000 0.5000  8 Zr 2.98

---

28.
Entry from Alexandria: an optimized crystal structure of Zr2TlIr (GGA-PBE).

Calculated values
Formation energy from the elements (meV/atom): -212

abc: 3.4013 3.3942 7.2307
angles: 90.00 90.00 90.00
Closest atoms and distances in Å follow each position.
Positions (direct):
1 Zr 0.0000 0.0000 0.0007  4 Tl 3.11, 8 Zr 3.19-3.40, 1 Ir 3.47
2 Zr 0.5000 0.5000 0.2902  4 Ir 2.77
3 Ir 0.0000 0.0000 0.4808  4 Zr 2.77, 4 Tl 3.00
4 Tl 0.5000 0.5000 0.7283  4 Ir 3.00, 5 Zr 3.11-3.17

---

29.
Entry from Alexandria: an optimized crystal structure of Zr2TlIr (GGA-PBE).

Calculated values
Formation energy from the elements (meV/atom): -50

abc: 7.6703 7.6703 6.2577
angles: 52.20 52.20 90.00
Closest atoms and distances in Å follow each position.
Positions (direct):
1 Ir 0.5000 0.5000 0.0000  4 Zr 2.59
2 Ir 0.2500 0.7500 0.5000  4 Zr 2.59
3 Zr 0.5782 0.1250 0.2500  2 Ir 2.59
4 Zr 0.1718 0.6250 0.2500  2 Ir 2.59
5 Zr 0.8750 0.8282 0.7500  2 Ir 2.59
6 Zr 0.3750 0.4218 0.7500  2 Ir 2.59
7 Tl 0.7500 0.2500 0.5000  8 Zr 3.08-3.40, 2 Ir 3.12
8 Tl 0.0000 0.0000 0.0000  8 Zr 3.08-3.40, 2 Ir 3.12